{"formula": "Na2LiFeO4", "functional": "PBE+U", "state": "relaxed", "lattice_angstrom": [[-2.954, 2.954, 2.724], [2.954, -2.954, 2.724], [2.954, 2.954, -2.724]], "species": ["Na", "Na", "Li", "Fe", "O", "O", "O", "O"], "fractional_positions": [[0.000, 0.500, 0.500], [0.500, 0.000, 0.500], [0.000, 0.000, 0.000], [0.500, 0.500, 0.000], [0.129, 0.129, 0.688], [0.441, 0.441, 0.312], [0.559, 0.871, 0.000], [0.871, 0.559, 0.000]], "space_group": "I-42m, No. 121"}

***

{"formula": "NaLiFe2Si4O12", "functional": "PBE+U", "state": "relaxed", "lattice_angstrom": [[4.898, -4.429, 0.000], [4.898, 4.429, 0.000], [-1.745, 0.000, 5.074]], "species": ["Na", "Li", "Fe", "Fe", "Si", "Si", "Si", "Si", "O", "O", "O", "O", "O", "O", "O", "O", "O", "O", "O", "O"], "fractional_positions": [[0.000, 0.000, 0.000], [0.452, 0.548, 0.500], [0.605, 0.395, 0.000], [0.808, 0.192, 0.500], [0.089, 0.499, 0.001], [0.324, 0.090, 0.502], [0.501, 0.911, 0.999], [0.910, 0.676, 0.498], [0.054, 0.652, 0.281], [0.062, 0.643, 0.782], [0.089, 0.190, 0.444], [0.327, 0.406, 0.074], [0.348, 0.946, 0.719], [0.357, 0.938, 0.218], [0.508, 0.263, 0.606], [0.594, 0.673, 0.926], [0.670, 0.098, 0.107], [0.737, 0.492, 0.394], [0.810, 0.911, 0.556], [0.902, 0.330, 0.893]], "space_group": "C2, No. 5"}

***

no.,total energy (eV/f.u.)
1,-39.94
2,-143.24